(1)
VASP calculation (GGA-PBE) on a relaxed LaPr2Te crystal.

D(E_F) ... 17.44 states/eV per cell
ΔE_f (raw) ... -0.578 eV per atom
Space-group type ... R-3m, No. 166
Excess energy over the best structure of this formula in the dataset ... 12.74 kJ/mol of atoms

abc: 4.0362 4.0362 30.7458
angles: 90.00 90.00 120.00
Fractional coordinates of all 12 atoms:
La  0.0000  0.0000  0.0000
La  0.3333  0.6667  0.6667
La  0.6667  0.3333  0.3333
Pr  0.0000  0.0000  0.2370
Pr  0.0000  0.0000  0.7630
Pr  0.3333  0.6667  0.4297
Pr  0.3333  0.6667  0.9037
Pr  0.6667  0.3333  0.0963
Pr  0.6667  0.3333  0.5703
Te  0.0000  0.0000  0.5000
Te  0.3333  0.6667  0.1667
Te  0.6667  0.3333  0.8333

=====

(2)
VASP calculation (GGA-PBE) on a relaxed La3Pr5Te8 crystal.

D(E_F) ... 12.89 states/eV per cell
ΔE_f (raw) ... -1.499 eV per atom
Space-group type ... R-3m, No. 166

abc: 9.0994 9.0994 9.0994
angles: 60.08 60.08 60.08
Fractional coordinates of all 16 atoms:
La  0.0000  0.5000  0.5000
La  0.5000  0.0000  0.5000
La  0.5000  0.5000  0.0000
Pr  0.0000  0.0000  0.0000
Pr  0.0000  0.0000  0.5000
Pr  0.0000  0.5000  0.0000
Pr  0.5000  0.0000  0.0000
Pr  0.5000  0.5000  0.5000
Te  0.2493  0.2493  0.2493
Te  0.2487  0.7500  0.7500
Te  0.2500  0.2500  0.7513
Te  0.2500  0.7513  0.2500
Te  0.7500  0.2487  0.7500
Te  0.7500  0.7500  0.2487
Te  0.7513  0.2500  0.2500
Te  0.7507  0.7507  0.7507

=====

(3)
VASP calculation (GGA-PBE) on a relaxed LaPr3Te4 crystal.

D(E_F) ... 12.29 states/eV per cell
ΔE_f (raw) ... -1.465 eV per atom
Space-group type ... P6_3/mmc, No. 194
Excess energy over the best structure of this formula in the dataset ... 1.49 kJ/mol of atoms

abc: 4.4809 4.4809 30.5673
angles: 90.00 90.00 120.00
Fractional coordinates of all 16 atoms:
La  0.3333  0.6667  0.2500
La  0.6667  0.3333  0.7500
Pr  0.0000  0.0000  0.0000
Pr  0.0000  0.0000  0.5000
Pr  0.3333  0.6667  0.6234
Pr  0.3333  0.6667  0.8766
Pr  0.6667  0.3333  0.1234
Pr  0.6667  0.3333  0.3766
Te  0.0000  0.0000  0.1854
Te  0.0000  0.0000  0.3146
Te  0.0000  0.0000  0.6854
Te  0.0000  0.0000  0.8146
Te  0.3333  0.6667  0.0618
Te  0.3333  0.6667  0.4382
Te  0.6667  0.3333  0.5618
Te  0.6667  0.3333  0.9382

=====

(4)
VASP calculation (GGA-PBE) on a relaxed LaPr5Te8 crystal.

D(E_F) ... 10.46 states/eV per cell
ΔE_f (raw) ... -1.474 eV per atom
Space-group type ... I-4, No. 82

abc: 8.3289 8.3289 8.3289
angles: 109.57 109.57 109.27
Fractional coordinates of all 14 atoms:
La  0.0000  0.0000  0.0000
Pr  0.1250  0.2555  0.6297
Pr  0.2500  0.7500  0.5000
Pr  0.5047  0.8750  0.1304
Pr  0.6257  0.4953  0.3703
Pr  0.7445  0.3743  0.8696
Te  0.0274  0.6252  0.7516
Te  0.2252  0.4755  0.1004
Te  0.3752  0.1248  0.8996
Te  0.3748  0.1264  0.4022
Te  0.5245  0.6248  0.7496
Te  0.7242  0.9726  0.5978
Te  0.8736  0.2758  0.2484
Te  0.8752  0.7748  0.2504

=====

(5)
VASP calculation (GGA-PBE) on a relaxed La4PrTe6 crystal.

D(E_F) ... 15.48 states/eV per cell
ΔE_f (raw) ... -1.461 eV per atom
Space-group type ... R-3c, No. 167

abc: 9.0466 9.0466 9.0466
angles: 91.04 91.04 91.04
Fractional coordinates of all 22 atoms:
La  0.1421  0.7500  0.3579
La  0.2500  0.2500  0.2500
La  0.2500  0.6421  0.8579
La  0.3579  0.1421  0.7500
La  0.6421  0.8579  0.2500
La  0.7500  0.3579  0.1421
La  0.7500  0.7500  0.7500
La  0.8579  0.2500  0.6421
Pr  0.0000  0.0000  0.0000
Pr  0.5000  0.5000  0.5000
Te  0.0604  0.9145  0.6731
Te  0.0855  0.3269  0.9396
Te  0.1731  0.4145  0.5604
Te  0.3269  0.9396  0.0855
Te  0.4145  0.5604  0.1731
Te  0.4396  0.8269  0.5855
Te  0.5604  0.1731  0.4145
Te  0.5855  0.4396  0.8269
Te  0.6731  0.0604  0.9145
Te  0.8269  0.5855  0.4396
Te  0.9145  0.6731  0.0604
Te  0.9396  0.0855  0.3269

=====

(6)
VASP calculation (GGA-PBE) on a relaxed LaPr2Te3 crystal.

D(E_F) ... 6.99 states/eV per cell
ΔE_f (raw) ... -1.494 eV per atom
Space-group type ... Immm, No. 71

abc: 4.5652 6.4211 13.6253
angles: 90.00 90.00 90.00
Fractional coordinates of all 12 atoms:
La  0.0000  0.0000  0.0000
La  0.5000  0.5000  0.5000
Pr  0.0000  0.0000  0.3316
Pr  0.0000  0.0000  0.6684
Pr  0.5000  0.5000  0.1684
Pr  0.5000  0.5000  0.8316
Te  0.0000  0.5000  0.0000
Te  0.0000  0.5000  0.3330
Te  0.0000  0.5000  0.6670
Te  0.5000  0.0000  0.1670
Te  0.5000  0.0000  0.5000
Te  0.5000  0.0000  0.8330